[1]
12
Lattice="5.275 0.000 0.000 -2.638 4.568 0.000 0.000 0.000 8.963" Properties=species:S:1:pos:R:3 comment="KAs4BrO6, single point on PBEsol structure, DFT SCAN" raw_formation_energy_ev_per_atom=-1.43 pbc="T T T"
K 0.000 0.000 0.000
As 0.000 3.046 2.673
As 0.000 3.046 6.290
As 2.638 1.523 2.673
As 2.638 1.523 6.290
Br 0.000 0.000 4.481
O -1.319 2.284 1.673
O -1.319 2.284 7.289
O 2.638 0.000 1.673
O 2.638 0.000 7.289
O 1.319 2.284 1.673
O 1.319 2.284 7.289



[2]
4
Lattice="3.800 0.000 0.000 0.000 3.800 0.000 0.000 0.000 5.327" Properties=species:S:1:pos:R:3 comment="MnAu2Br, single point on PBEsol structure, DFT SCAN" de_polymorph_mev_per_atom=116.0 raw_formation_energy_ev_per_atom=-0.05 pbc="T T T"
Mn 0.000 0.000 0.000
Au 0.000 1.900 2.663
Au 1.900 0.000 2.663
Br 1.900 1.900 0.000



[3]
5
Lattice="4.289 0.000 0.000 0.000 4.289 0.000 0.000 0.000 4.343" Properties=species:S:1:pos:R:3 comment="ZrBe2FeBr, single point on PBEsol structure, DFT SCAN" raw_formation_energy_ev_per_atom=1.21 pbc="T T T"
Zr 0.000 0.000 0.000
Be 0.000 2.144 2.171
Be 2.144 0.000 2.171
Fe 2.144 2.144 0.000
Br 2.144 2.144 2.171



[4]
3
Lattice="4.131 0.000 0.000 -2.065 3.577 0.000 0.000 0.000 2.601" Properties=species:S:1:pos:R:3 comment="Cr2W, single point on PBEsol structure, DFT SCAN" de_polymorph_mev_per_atom=37.0 formation_energy_mev_per_atom=92 pbc="T T T"
Cr 0.000 2.385 0.884
Cr 2.065 1.192 1.717
W 0.000 0.000 0.000



| no. | raw total energy (eV/atom) |
| --- | --- |
| 1 | -13.5909 |
| 2 | -44.0564 |
| 3 | -14.1910 |
| 4 | -35.3939 |